Entry 1:
Computed, not measured: a relaxed structure of Th4GeAsSe2 at the PBE level of DFT.

Output
M_tot, μB per atom: 0.00
Raw formation energy, eV/atom: -1.360
N(E_F), states/eV/cell: 5.7

Geometry as CIF:
```
data_Th4GeAsSe2
_symmetry_space_group_name_H-M 'P 1'
_symmetry_Int_Tables_number 1
_cell_length_a 4.2681
_cell_length_b 7.3817
_cell_length_c 7.3186
_cell_angle_alpha 109.79
_cell_angle_beta 90.00
_cell_angle_gamma 90.00
loop_
_symmetry_equiv_pos_as_xyz
'x,y,z'
loop_
_atom_site_label
_atom_site_type_symbol
_atom_site_fract_x
_atom_site_fract_y
_atom_site_fract_z
Th1 Th 0.5000 0.2488 0.2428
Th2 Th 0.5000 0.7512 0.7572
Th3 Th 0.0000 0.2534 0.7575
Th4 Th 0.0000 0.7466 0.2425
Ge1 Ge 0.5000 0.5000 0.0000
As1 As 0.0000 0.0000 0.0000
Se1 Se 0.5000 0.0000 0.5000
Se2 Se 0.0000 0.5000 0.5000
```

Entry 2:
Computed, not measured: a relaxed structure of TiGeAs2Se at the PBE level of DFT.

Output
Distance to the lowest polymorph of the same formula, meV per atom: 0.0
M_tot, μB per atom: 0.00
Raw formation energy, eV/atom: 0.140
N(E_F), states/eV/cell: 3.7

Geometry as CIF:
```
data_TiGeAs2Se
_symmetry_space_group_name_H-M 'P 1'
_symmetry_Int_Tables_number 1
_cell_length_a 4.9335
_cell_length_b 4.9335
_cell_length_c 4.8656
_cell_angle_alpha 90.00
_cell_angle_beta 90.00
_cell_angle_gamma 90.00
loop_
_symmetry_equiv_pos_as_xyz
'x,y,z'
loop_
_atom_site_label
_atom_site_type_symbol
_atom_site_fract_x
_atom_site_fract_y
_atom_site_fract_z
As1 As 0.0000 0.5000 0.0000
As2 As 0.5000 0.0000 0.0000
Ge1 Ge 0.5000 0.5000 0.5000
Se1 Se 0.0000 0.0000 0.5000
Ti1 Ti 0.0000 0.0000 0.0000
```

Entry 3:
Computed, not measured: a relaxed structure of TiGeAs2Se at the PBE level of DFT.

Output
Distance to the lowest polymorph of the same formula, meV per atom: 552.1
M_tot, μB per atom: 0.00
Raw formation energy, eV/atom: 0.692
N(E_F), states/eV/cell: 5.9

Geometry as CIF:
```
data_TiGeAs2Se
_symmetry_space_group_name_H-M 'P 1'
_symmetry_Int_Tables_number 1
_cell_length_a 4.8414
_cell_length_b 4.8414
_cell_length_c 4.9300
_cell_angle_alpha 90.00
_cell_angle_beta 90.00
_cell_angle_gamma 90.00
loop_
_symmetry_equiv_pos_as_xyz
'x,y,z'
loop_
_atom_site_label
_atom_site_type_symbol
_atom_site_fract_x
_atom_site_fract_y
_atom_site_fract_z
As1 As 0.0000 0.5000 0.0000
As2 As 0.5000 0.0000 0.0000
Ge1 Ge 0.0000 0.0000 0.0000
Se1 Se 0.0000 0.0000 0.5000
Ti1 Ti 0.5000 0.5000 0.5000
```

Entry 4:
Computed, not measured: a relaxed structure of TlGeAsSe2 at the PBE level of DFT.

Output
Distance to the lowest polymorph of the same formula, meV per atom: 644.9
M_tot, μB per atom: 0.00
Raw formation energy, eV/atom: 0.890
N(E_F), states/eV/cell: 6.4

Geometry as CIF:
```
data_TlGeAsSe2
_symmetry_space_group_name_H-M 'P 1'
_symmetry_Int_Tables_number 1
_cell_length_a 5.3543
_cell_length_b 5.3543
_cell_length_c 5.2718
_cell_angle_alpha 90.00
_cell_angle_beta 90.00
_cell_angle_gamma 90.00
loop_
_symmetry_equiv_pos_as_xyz
'x,y,z'
loop_
_atom_site_label
_atom_site_type_symbol
_atom_site_fract_x
_atom_site_fract_y
_atom_site_fract_z
Tl1 Tl 0.0000 0.0000 0.0000
Ge1 Ge 0.5000 0.5000 0.5000
As1 As 0.0000 0.0000 0.5000
Se1 Se 0.0000 0.5000 0.0000
Se2 Se 0.5000 0.0000 0.0000
```

Entry 5:
Computed, not measured: a relaxed structure of TlGeAs2Se at the PBE level of DFT.

Output
Distance to the lowest polymorph of the same formula, meV per atom: 0.0
M_tot, μB per atom: 0.05
Raw formation energy, eV/atom: 0.417
N(E_F), states/eV/cell: 4.8

Geometry as CIF:
```
data_TlGeAs2Se
_symmetry_space_group_name_H-M 'P 1'
_symmetry_Int_Tables_number 1
_cell_length_a 5.0360
_cell_length_b 5.0360
_cell_length_c 5.1644
_cell_angle_alpha 90.00
_cell_angle_beta 90.00
_cell_angle_gamma 90.00
loop_
_symmetry_equiv_pos_as_xyz
'x,y,z'
loop_
_atom_site_label
_atom_site_type_symbol
_atom_site_fract_x
_atom_site_fract_y
_atom_site_fract_z
Tl1 Tl 0.5000 0.5000 0.5000
Ge1 Ge 0.0000 0.0000 0.0000
As1 As 0.0000 0.5000 0.0000
As2 As 0.5000 0.0000 0.0000
Se1 Se 0.0000 0.0000 0.5000
```

Entry 6:
Computed, not measured: a relaxed structure of TlGeAs2Se at the PBE level of DFT.

Output
Distance to the lowest polymorph of the same formula, meV per atom: 647.5
M_tot, μB per atom: 0.06
Raw formation energy, eV/atom: 1.065
N(E_F), states/eV/cell: 5.6

Geometry as CIF:
```
data_TlGeAs2Se
_symmetry_space_group_name_H-M 'P 1'
_symmetry_Int_Tables_number 1
_cell_length_a 5.2713
_cell_length_b 5.2713
_cell_length_c 5.4035
_cell_angle_alpha 90.00
_cell_angle_beta 90.00
_cell_angle_gamma 90.00
loop_
_symmetry_equiv_pos_as_xyz
'x,y,z'
loop_
_atom_site_label
_atom_site_type_symbol
_atom_site_fract_x
_atom_site_fract_y
_atom_site_fract_z
Tl1 Tl 0.0000 0.0000 0.0000
Ge1 Ge 0.5000 0.5000 0.5000
As1 As 0.0000 0.5000 0.0000
As2 As 0.5000 0.0000 0.0000
Se1 Se 0.0000 0.0000 0.5000
```